Entry 1:
Sr3Li2OsO6 | Alexandria via LeMat-Bulk | PBE | relaxed; raw total energy = -73.7 eV for the cell shown; D(E_F) = 2.01 states/eV/f.u.; uncorrected formation energy = -1986 meV/atom; symmetry = P-3m1
1.0
-3.0686 -2.5808 -4.0856
1.8547 -2.9973 4.5106
-5.3906 1.4136 3.1558
Sr Li Os O
3 2 1 6
direct
0.3333 0.6667 0.6216 Sr
0.6667 0.3333 0.3784 Sr
0.0000 0.0000 0.0000 Sr
0.6667 0.3333 0.8032 Li
0.3333 0.6667 0.1968 Li
0.0000 0.0000 0.5000 Os
0.6743 0.8372 0.3129 O
0.1628 0.3257 0.3129 O
0.1628 0.8372 0.3129 O
0.8372 0.6743 0.6871 O
0.3257 0.1628 0.6871 O
0.8372 0.1628 0.6871 O

=====

Entry 2:
Al2TeP | Alexandria via LeMat-Bulk | PBE | relaxed; excess energy over the best structure of this formula in the dataset = 539.3 meV/atom; raw total energy = -15.0 eV for the cell shown; D(E_F) = 1.90 states/eV/f.u.; uncorrected formation energy = 260 meV/atom; symmetry = Immm
1.0
5.4930 -0.0194 0.0150
2.0448 5.0983 -0.0150
-3.1015 -3.5299 2.8450
P Te Al
1 1 2
direct
0.7500 0.2500 0.5000 P
0.2500 0.7500 0.5000 Te
0.9561 0.9561 0.0000 Al
0.5439 0.5439 0.0000 Al

=====

Entry 3:
La4PS2 | Alexandria via LeMat-Bulk | PBE | relaxed; raw total energy = -44.6 eV for the cell shown; D(E_F) = 5.90 states/eV/f.u.; uncorrected formation energy = -1602 meV/atom; symmetry = C2/m
1.0
4.1306 0.0031 0.0007
2.0594 7.0530 3.4414
0.0008 0.1264 7.1309
La P S
4 1 2
direct
0.8709 0.2580 0.5462 La
0.1291 0.7420 0.4538 La
0.6269 0.7463 0.9684 La
0.3731 0.2537 0.0316 La
0.0000 0.0000 0.0000 P
0.7436 0.5130 0.7442 S
0.2564 0.4870 0.2558 S

=====

Entry 4:
LaPmAs2 | Alexandria via LeMat-Bulk | PBE | relaxed; excess energy over the best structure of this formula in the dataset = 403.4 meV/atom; raw total energy = -23.6 eV for the cell shown; DFT formation energy = -1146 meV per atom; D(E_F) = 2.39 states/eV/f.u.; symmetry = Fm-3m
1.0
5.2370 0.0000 0.0000
2.6185 4.5354 0.0000
2.6185 1.5118 4.2760
As La Pm
2 1 1
direct
0.2500 0.2500 0.2500 As
0.7500 0.7500 0.7500 As
0.5000 0.5000 0.5000 La
0.0000 0.0000 0.0000 Pm

=====

Entry 5:
NaPd2F2 | Alexandria via LeMat-Bulk | PBE | relaxed; excess energy over the best structure of this formula in the dataset = 70.6 meV/atom; raw total energy = -18.3 eV for the cell shown; D(E_F) = 3.21 states/eV/f.u.; uncorrected formation energy = -568 meV/atom; symmetry = I4/mmm
1.0
4.4735 0.0000 0.0000
0.0000 4.4735 0.0000
2.2367 2.2367 4.2536
Na Pd F
1 2 2
direct
0.0000 0.0000 0.0000 Na
0.3354 0.3354 0.3291 Pd
0.6646 0.6646 0.6709 Pd
0.7500 0.2500 0.5000 F
0.2500 0.7500 0.5000 F

=====

Entry 6:
PaZnFeAu | Alexandria via LeMat-Bulk | PBE | relaxed; raw total energy = -22.5 eV for the cell shown; DFT formation energy = 13 meV per atom; D(E_F) = 5.55 states/eV/f.u.; symmetry = F-43m
1.0
-2.0519 1.2537 -4.0581
-0.0267 -2.9869 -3.6507
-4.0304 -2.0533 -1.3379
Zn Pa Au Fe
1 1 1 1
direct
0.0000 0.0000 0.0000 Zn
0.5000 0.5000 0.5000 Pa
0.2500 0.2500 0.2500 Au
0.7500 0.7500 0.7500 Fe

=====

Entry 7:
RbCu2AgF8 | Alexandria via LeMat-Bulk | PBE | relaxed; raw total energy = -46.3 eV for the cell shown; D(E_F) = 0.10 states/eV/f.u.; uncorrected formation energy = -1606 meV/atom; symmetry = I-4
1.0
5.8633 0.0000 0.0000
0.0000 5.8633 0.0000
-2.9317 -2.9316 5.0417
Rb Cu Ag F
1 2 1 8
direct
0.7500 0.2500 0.5000 Rb
0.5000 0.5000 0.0000 Cu
0.2500 0.7500 0.5000 Cu
0.0000 0.0000 0.0000 Ag
0.6905 0.7568 0.0094 F
0.3189 0.2526 0.0094 F
0.5646 0.7761 0.5253 F
0.9607 0.7492 0.5253 F
0.2508 0.4354 0.4747 F
0.2239 0.0393 0.4747 F
0.2432 0.6811 0.9906 F
0.7474 0.3095 0.9906 F

=====

Entry 8:
Na8B13C3 | Alexandria via LeMat-Bulk | PBE | relaxed; excess energy over the best structure of this formula in the dataset = 31.5 meV/atom; raw total energy = -119.9 eV for the cell shown; DFT formation energy = 213 meV per atom; D(E_F) = 3.13 states/eV/f.u.; symmetry = Pm
1.0
-1.5803 1.4537 -4.6036
0.3204 -5.6155 -1.8713
-8.2091 -1.2734 2.4158
Na C B
8 3 13
direct
0.9991 0.9997 0.0001 Na
0.9991 0.9997 0.4999 Na
0.4998 0.2507 0.9996 Na
0.4998 0.2507 0.5004 Na
0.0006 0.4995 0.9985 Na
0.0006 0.4995 0.5015 Na
0.5004 0.7500 0.0007 Na
0.5004 0.7500 0.4993 Na
0.8239 0.7571 0.2500 C
0.6667 0.0000 0.7500 C
0.3248 0.9932 0.2500 C
0.1624 0.2482 0.7500 B
0.8170 0.2526 0.2500 B
0.1966 0.2342 0.2500 B
0.8205 0.2362 0.7500 B
0.6768 0.5000 0.7500 B
0.3162 0.4980 0.2500 B
0.6958 0.5158 0.2500 B
0.3354 0.4998 0.7500 B
0.1617 0.7515 0.7500 B
0.1639 0.7596 0.2500 B
0.8204 0.7634 0.7500 B
0.6637 0.9906 0.2500 B
0.3546 0.9998 0.7500 B

=====

Entry 9:
CaInSbAu | Alexandria via LeMat-Bulk | PBE | relaxed; raw total energy = -13.7 eV for the cell shown; D(E_F) = 3.10 states/eV/f.u.; uncorrected formation energy = -397 meV/atom; symmetry = F-43m
1.0
-4.9776 -1.3012 -1.0524
-1.2685 -5.0156 -0.9011
-2.8192 -2.6712 3.5347
Sb Ca Au In
1 1 1 1
direct
0.5000 0.5000 0.5000 Sb
0.7500 0.7500 0.7500 Ca
0.0000 0.0000 0.0000 Au
0.2500 0.2500 0.2500 In

=====

Entry 10:
LiYMo | Alexandria via LeMat-Bulk | PBE | relaxed; excess energy over the best structure of this formula in the dataset = 869.3 meV/atom; raw total energy = -15.1 eV for the cell shown; DFT formation energy = 1371 meV per atom; D(E_F) = 1.90 states/eV/f.u.; symmetry = F-43m
1.0
4.7515 0.0000 0.0000
2.3758 4.1150 0.0000
2.3758 1.3717 3.8796
Li Mo Y
1 1 1
direct
0.0000 0.0000 0.0000 Li
0.5000 0.5000 0.5000 Mo
0.7500 0.7500 0.7500 Y

=====

Entry 11:
BaReSb2 | Alexandria via LeMat-Bulk | PBE | relaxed; excess energy over the best structure of this formula in the dataset = 185.8 meV/atom; raw total energy = -22.1 eV for the cell shown; D(E_F) = 2.19 states/eV/f.u.; uncorrected formation energy = 125 meV/atom; symmetry = Immm
1.0
-5.3381 0.9785 3.4417
-5.1177 -2.7232 -2.7735
5.6852 -0.6174 2.9319
Ba Re Sb
1 1 2
direct
0.7500 0.2500 0.5000 Ba
0.2500 0.7500 0.5000 Re
0.0556 0.0556 0.0000 Sb
0.4444 0.4444 0.0000 Sb